# Rb2Pd2Br5

An optimized crystal structure of Rb2Pd2Br5 (PBE, the Alexandria database).

Cell lengths 5.0615, 8.8762, 7.9755 Å; angles 105.27, 90.00, 106.57 degrees
With the nearest neighbours (Å) after each atom.
Fractional positions:
Rb 0.6135 0.2270 0.2781  7 Br 3.43-3.73
Rb 0.3865 0.7730 0.7219  7 Br 3.43-3.73
Pd 0.9093 0.8187 0.2099  4 Br 2.47-2.57
Pd 0.0907 0.1813 0.7901  4 Br 2.47-2.57
Br 0.1720 0.3440 0.5766  1 Pd 2.47
Br 0.0000 0.0000 0.0000  2 Pd 2.57
Br 0.8280 0.6560 0.4234  1 Pd 2.47
Br 0.3860 0.7720 0.1716  2 Pd 2.57
Br 0.6140 0.2280 0.8284  2 Pd 2.57

Output
calculated volume	330.2	Å³ per cell
energy relative to the elements, uncorrected	-0.844	eV/atom